# 1
Material: Ac6PmS8
Method: DFT, GGA-PBE
State: relaxed

Cell and atoms, written as CIF:
```
data_Ac6PmS8
_chemical_formula_sum 'Ac6 Pm1 S8'
_space_group_name_H-M_alt 'P 1'
_space_group_IT_number 1
_space_group_name_Hall 'P 1'
_cell_length_a 8.560
_cell_length_b 8.560
_cell_length_c 8.560
_cell_angle_alpha 60.00
_cell_angle_beta 60.00
_cell_angle_gamma 60.00
loop_
_atom_site_label
_atom_site_type_symbol
_atom_site_fract_x
_atom_site_fract_y
_atom_site_fract_z
Ac1 Ac 0.000 0.000 0.500
Ac2 Ac 0.000 0.500 0.000
Ac3 Ac 0.000 0.500 0.500
Ac4 Ac 0.500 0.000 0.000
Ac5 Ac 0.500 0.000 0.500
Ac6 Ac 0.500 0.500 0.000
Pm1 Pm 0.000 0.000 0.000
S1 S 0.238 0.238 0.762
S2 S 0.238 0.762 0.238
S3 S 0.238 0.762 0.762
S4 S 0.250 0.250 0.250
S5 S 0.750 0.750 0.750
S6 S 0.762 0.238 0.238
S7 S 0.762 0.238 0.762
S8 S 0.762 0.762 0.238
```

## Properties
* N(E_F): 7.52 states/eV per cell
* raw total energy: -6.2031 eV/atom

# 2
Material: NaCu2AuCl6
Method: DFT, GGA-PBE
State: relaxed

Cell and atoms, written as CIF:
```
data_NaCu2AuCl6
_chemical_formula_sum 'Na2 Cu4 Au2 Cl12'
_space_group_name_H-M_alt 'P 1'
_space_group_IT_number 1
_space_group_name_Hall 'P 1'
_cell_length_a 8.686
_cell_length_b 8.686
_cell_length_c 6.526
_cell_angle_alpha 99.19
_cell_angle_beta 99.19
_cell_angle_gamma 88.37
loop_
_atom_site_label
_atom_site_type_symbol
_atom_site_fract_x
_atom_site_fract_y
_atom_site_fract_z
Na1 Na 0.088 0.912 0.750
Na2 Na 0.912 0.088 0.250
Cu1 Cu 0.238 0.392 0.718
Cu2 Cu 0.392 0.238 0.218
Cu3 Cu 0.608 0.762 0.782
Cu4 Cu 0.762 0.608 0.282
Au1 Au 0.270 0.730 0.250
Au2 Au 0.730 0.270 0.750
Cl1 Cl 0.034 0.222 0.652
Cl2 Cl 0.153 0.620 0.904
Cl3 Cl 0.222 0.034 0.152
Cl4 Cl 0.274 0.442 0.395
Cl5 Cl 0.380 0.847 0.596
Cl6 Cl 0.442 0.274 0.895
Cl7 Cl 0.558 0.726 0.105
Cl8 Cl 0.620 0.153 0.404
Cl9 Cl 0.726 0.558 0.605
Cl10 Cl 0.778 0.966 0.848
Cl11 Cl 0.847 0.380 0.096
Cl12 Cl 0.966 0.778 0.348
```

## Properties
* N(E_F): 13.92 states/eV per cell
* raw total energy: -3.0478 eV/atom

# 3
Material: Cr2PRh
Method: DFT, GGA-PBE
State: relaxed

Cell and atoms, written as CIF:
```
data_Cr2PRh
_chemical_formula_sum 'Cr2 P1 Rh1'
_space_group_name_H-M_alt 'P 1'
_space_group_IT_number 1
_space_group_name_Hall 'P 1'
_cell_length_a 2.760
_cell_length_b 3.742
_cell_length_c 4.787
_cell_angle_alpha 90.00
_cell_angle_beta 90.00
_cell_angle_gamma 90.00
loop_
_atom_site_label
_atom_site_type_symbol
_atom_site_fract_x
_atom_site_fract_y
_atom_site_fract_z
Cr1 Cr 0.000 0.000 0.215
Cr2 Cr 0.000 0.000 0.785
P1 P 0.500 0.500 0.000
Rh1 Rh 0.500 0.500 0.500
```

## Properties
* N(E_F): 3.79 states/eV per cell
* raw total energy: -8.1538 eV/atom
* formation enthalpy at 0 K: -0.15 eV per atom

Q: Look up the raw total energy of the second one.
A: -3.0478 eV/atom

Q: Look up the N(E_F) of the second one.
A: 13.92 states/eV per cell

Repeat the second record exactly.
Material: NaCu2AuCl6
Method: DFT, GGA-PBE
State: relaxed

Cell and atoms, written as CIF:
```
data_NaCu2AuCl6
_chemical_formula_sum 'Na2 Cu4 Au2 Cl12'
_space_group_name_H-M_alt 'P 1'
_space_group_IT_number 1
_space_group_name_Hall 'P 1'
_cell_length_a 8.686
_cell_length_b 8.686
_cell_length_c 6.526
_cell_angle_alpha 99.19
_cell_angle_beta 99.19
_cell_angle_gamma 88.37
loop_
_atom_site_label
_atom_site_type_symbol
_atom_site_fract_x
_atom_site_fract_y
_atom_site_fract_z
Na1 Na 0.088 0.912 0.750
Na2 Na 0.912 0.088 0.250
Cu1 Cu 0.238 0.392 0.718
Cu2 Cu 0.392 0.238 0.218
Cu3 Cu 0.608 0.762 0.782
Cu4 Cu 0.762 0.608 0.282
Au1 Au 0.270 0.730 0.250
Au2 Au 0.730 0.270 0.750
Cl1 Cl 0.034 0.222 0.652
Cl2 Cl 0.153 0.620 0.904
Cl3 Cl 0.222 0.034 0.152
Cl4 Cl 0.274 0.442 0.395
Cl5 Cl 0.380 0.847 0.596
Cl6 Cl 0.442 0.274 0.895
Cl7 Cl 0.558 0.726 0.105
Cl8 Cl 0.620 0.153 0.404
Cl9 Cl 0.726 0.558 0.605
Cl10 Cl 0.778 0.966 0.848
Cl11 Cl 0.847 0.380 0.096
Cl12 Cl 0.966 0.778 0.348
```

## Properties
* N(E_F): 13.92 states/eV per cell
* raw total energy: -3.0478 eV/atom

Q: Which of these has the lowest N(E_F)?
A: Cr2PRh